(1)
HfZrTa2Ge | GGA-PBE | optimized geometry

Computed properties:
Magnetic moment, μB per atom: 0.000
Uncorrected energy, eV for the cell shown: -38.5
Calculated formation energy, eV per atom: 1.670

```
5
Lattice="-1.248 -3.290 3.387 4.795 0.252 2.012 -1.436 3.602 2.969" Properties=species:S:1:pos:R:3 pbc="T T T"
Zr 2.397 0.126 1.006
Ge 1.055 0.282 4.184
Hf 0.000 0.000 0.000
Ta -0.624 -1.645 1.693
Ta -0.718 1.801 1.485
```

(2)
Sm2PaTl2S6 | GGA-PBE | optimized geometry

Computed properties:
Magnetic moment, μB per atom: 0.097
Uncorrected energy, eV for the cell shown: -65.0

```
11
Lattice="-6.140 1.589 3.135 0.017 -3.517 -6.138 2.286 -5.911 4.773" Properties=species:S:1:pos:R:3 pbc="T T T"
S -0.859 -2.273 0.682
S -3.045 -4.119 -2.377
S -5.042 -2.462 0.632
S -0.792 -3.720 4.146
S -2.977 -5.566 1.088
S 1.206 -5.377 1.138
Tl -1.020 -2.657 -4.576
Tl -5.103 0.729 1.573
Pa 1.143 -2.956 2.386
Sm -0.895 -4.768 -0.657
Sm -2.941 -3.071 2.426
```

(3)
TmNi2Pd | GGA-PBE | optimized geometry

Computed properties:
Magnetic moment, μB per atom: 0.000
Uncorrected energy, eV for the cell shown: -22.7
Calculated formation energy, eV per atom: -0.371

```
4
Lattice="4.419 0.000 0.000 2.209 3.827 0.000 2.209 1.276 3.608" Properties=species:S:1:pos:R:3 pbc="T T T"
Ni 2.209 1.276 0.902
Ni 6.628 3.827 2.706
Pd 4.419 2.551 1.804
Tm 0.000 0.000 0.000
```

(4)
CaLa2PrSm5 | GGA-PBE | optimized geometry

Computed properties:
Magnetic moment, μB per atom: 0.000
Uncorrected energy, eV for the cell shown: -75.9
Calculated formation energy, eV per atom: 0.255

```
18
Lattice="-0.459 8.500 2.330 -6.729 1.169 -5.590 -1.704 -6.759 7.605" Properties=species:S:1:pos:R:3 pbc="T T T"
Ca -2.879 3.288 4.153
Ca -6.014 -0.378 0.192
La -2.624 1.451 -1.859
La -1.079 5.393 0.780
La -4.565 8.218 -1.401
La -6.109 4.276 -4.040
Sm -2.501 0.756 6.197
Sm -5.835 0.786 3.250
Sm 0.000 0.000 0.000
Sm -7.061 6.481 -1.051
Sm -1.832 -3.570 5.397
Sm -5.166 -3.541 2.449
Sm -3.057 2.125 1.096
Sm -6.392 2.154 -1.852
Sm -3.726 6.451 1.896
Sm -3.594 4.835 -1.630
Pr -2.649 -0.962 2.988
Pr -6.243 3.873 1.358
```

(5)
Y2CoCl | GGA-PBE | optimized geometry

Computed properties:
Magnetic moment, μB per atom: 0.000
Uncorrected energy, eV for the cell shown: -24.5
Energy relative to the lowest polymorph listed for this composition, kJ/mol of formula units: 68

```
4
Lattice="-5.247 -1.512 -1.393 1.166 -3.725 -0.347 -0.827 -0.611 3.779" Properties=species:S:1:pos:R:3 pbc="T T T"
Y 0.297 -3.794 3.003
Y -2.496 -2.382 0.590
Cl 0.127 -1.626 1.287
Co -2.327 -4.549 2.306
```

(6)
ZrIn2Co | GGA-PBE | optimized geometry

Computed properties:
Magnetic moment, μB per atom: 0.075
Uncorrected energy, eV for the cell shown: -20.8
Calculated formation energy, eV per atom: 0.075

```
4
Lattice="-4.232 1.777 1.219 -3.854 -1.078 -2.558 -3.337 -2.848 1.819" Properties=species:S:1:pos:R:3 pbc="T T T"
Co -5.711 -1.075 0.240
Zr -2.856 -0.537 0.120
In -8.567 -1.612 0.359
In 0.000 0.000 0.000
```

(7)
PrSmPa2P4 | GGA-PBE | optimized geometry

Computed properties:
Magnetic moment, μB per atom: 0.000
Uncorrected energy, eV for the cell shown: -61.6
Calculated formation energy, eV per atom: -1.429

```
8
Lattice="4.048 0.000 0.000 0.000 7.034 -0.147 0.000 2.468 6.564" Properties=species:S:1:pos:R:3 pbc="T T T"
Pr 2.024 3.517 -0.073
P 2.024 5.992 1.512
P 2.024 3.509 4.905
P 4.048 2.275 1.662
P 0.000 7.227 4.756
Pa 2.024 1.234 3.282
Pa 0.000 2.468 6.564
Sm 0.000 4.751 3.209
```

(8)
LaSmSiCl | GGA-PBE | optimized geometry

Computed properties:
Magnetic moment, μB per atom: 0.000
Uncorrected energy, eV for the cell shown: -21.8

```
4
Lattice="-2.903 2.901 -1.185 -3.892 -1.254 -1.238 -4.499 0.998 5.762" Properties=species:S:1:pos:R:3 pbc="T T T"
Sm -3.144 0.726 1.777
Cl -6.004 1.394 2.720
La -8.897 2.069 3.761
Si -7.188 1.726 -1.264
```

(9)
Ho3TmMg | GGA-PBE | optimized geometry

Computed properties:
Magnetic moment, μB per atom: 0.000
Uncorrected energy, eV for the cell shown: -39.8
Calculated formation energy, eV per atom: -0.016
Energy relative to the lowest polymorph listed for this composition, kJ/mol of formula units: 0

```
10
Lattice="3.587 0.000 0.000 -1.793 6.271 -0.894 0.000 1.087 12.924" Properties=species:S:1:pos:R:3 pbc="T T T"
Mg 1.793 6.405 10.568
Mg 0.000 0.953 1.462
Ho 1.793 3.246 3.045
Ho 0.000 2.190 5.952
Ho 0.000 4.112 8.986
Ho 1.793 5.168 6.078
Ho 0.000 4.446 0.253
Ho 1.793 2.911 11.778
Tm 1.793 1.167 8.831
Tm 0.000 6.191 3.199
```

(10)
Sb2RhCl | GGA-PBE | optimized geometry

Computed properties:
Magnetic moment, μB per atom: 0.000
Uncorrected energy, eV for the cell shown: -19.0

```
4
Lattice="4.118 0.019 -0.098 2.041 3.576 -0.098 -1.872 -1.093 7.730" Properties=species:S:1:pos:R:3 pbc="T T T"
Sb 1.133 0.661 4.534
Sb -0.861 -0.502 6.964
Cl 1.072 0.626 1.884
Rh 3.216 1.877 5.651
```